[1]
This record from Alexandria describes a relaxed HOsCSe2 crystal. The functional is GGA-PBE.

```
HOsCSe2
1.0
4.5275 0.0000 0.0000
0.0000 2.9023 0.0000
0.0000 0.0000 4.5275
H C Os Se
1 1 1 2
direct
0.0000 0.5000 0.0000
0.0000 0.0000 0.0000
0.5000 0.5000 0.5000
0.0000 0.0000 0.5000
0.5000 0.0000 0.0000
```

Summary:
Final energy, eV/atom: -5.101
Spin magnetization, μB/f.u.: 0.000

***

[2]
This record from Alexandria describes a relaxed TeHOsC2 crystal. The functional is GGA-PBE.

```
TeHOsC2
1.0
-0.0370 -4.0888 -0.6644
2.7646 0.2502 -1.6934
2.1805 -0.5841 3.4735
H C Te Os
1 2 1 1
direct
0.0000 0.0000 0.0000
0.0000 0.0000 0.5000
0.5000 0.0000 0.0000
0.5000 0.5000 0.5000
0.0000 0.5000 0.0000
```

Summary:
Final energy, eV/atom: -4.929
Spin magnetization, μB/f.u.: 0.000

***

[3]
This record from Alexandria describes a relaxed Sc4PHC2 crystal. The functional is GGA-PBE.

```
Sc4PHC2
1.0
3.4540 0.0000 0.0000
-1.7270 5.5917 0.0000
0.0000 0.0000 11.5572
Sc P H C
8 2 2 4
direct
0.2640 0.5279 0.1083
0.7360 0.4721 0.6083
0.7360 0.4721 0.8917
0.2640 0.5279 0.3917
0.0000 0.0000 0.5000
0.0000 0.0000 0.0000
0.4351 0.8702 0.7500
0.5649 0.1298 0.2500
0.1121 0.2242 0.7500
0.8879 0.7758 0.2500
0.8423 0.6847 0.7500
0.1577 0.3153 0.2500
0.3669 0.7338 0.5598
0.6331 0.2662 0.0598
0.6331 0.2662 0.4402
0.3669 0.7338 0.9402
```

Summary:
Final energy, eV/atom: -7.409
Spin magnetization, μB/f.u.: 0.000

***

[4]
This record from Alexandria describes a relaxed SiPHC crystal. The functional is GGA-PBE.

```
SiPHC
1.0
-2.1771 -1.9609 -1.2251
3.5193 -1.3761 0.0648
-1.8280 -0.4678 3.9967
Si P H C
1 1 1 1
direct
0.3749 0.8479 0.9431
0.7357 0.5696 0.2200
0.0291 0.1563 0.6612
0.8658 0.8296 0.6589
```

Summary:
Final energy, eV/atom: -5.576
Spin magnetization, μB/f.u.: 0.000
Energy above the most stable polymorph in this dataset, kJ/mol of formula units: 53

***

[5]
This record from Alexandria describes a relaxed SiPHC crystal. The functional is GGA-PBE.

```
SiPHC
1.0
-0.4582 2.1004 2.4552
-1.4636 -2.7619 2.0896
7.8338 -3.8346 0.4187
Si P H C
2 2 2 2
direct
0.3096 0.0000 0.7328
0.3096 0.5000 0.2328
0.0790 0.0000 0.0559
0.0790 0.5000 0.5559
0.6552 0.0000 0.0729
0.6552 0.5000 0.5729
0.9170 0.0000 0.8402
0.9170 0.5000 0.3402
```

Summary:
Final energy, eV/atom: -5.540
Spin magnetization, μB/f.u.: 0.000
Energy above the most stable polymorph in this dataset, kJ/mol of formula units: 67

***

[6]
This record from Alexandria describes a relaxed SiPHC crystal. The functional is GGA-PBE.

```
SiPHC
1.0
4.2353 0.0000 -0.0056
0.0000 3.0222 0.0000
-4.0862 0.0000 7.8025
Si P H C
2 2 2 2
direct
0.6923 0.0000 0.4091
0.6923 0.5000 0.9091
0.3256 0.0000 0.5359
0.3256 0.5000 0.0359
0.8811 0.0000 0.7662
0.8811 0.5000 0.2662
0.6177 0.0000 0.7662
0.6177 0.5000 0.2662
```

Summary:
Final energy, eV/atom: -5.638
Spin magnetization, μB/f.u.: 0.000
Energy above the most stable polymorph in this dataset, kJ/mol of formula units: 29

***

[7]
This record from Alexandria describes a relaxed SiPHC crystal. The functional is GGA-PBE.

```
SiPHC
1.0
-2.7122 3.5577 -0.7262
-0.5346 0.2537 3.2396
5.3630 1.7509 0.7480
Si P H C
2 2 2 2
direct
0.6525 0.0000 0.5875
0.6525 0.5000 0.0875
0.2391 0.0000 0.0155
0.2391 0.5000 0.5155
0.2215 0.0000 0.7605
0.2215 0.5000 0.2606
0.8123 0.0000 0.9551
0.8123 0.5000 0.4551
```

Summary:
Final energy, eV/atom: -5.477
Spin magnetization, μB/f.u.: 0.000
Energy above the most stable polymorph in this dataset, kJ/mol of formula units: 92

***

[8]
This record from Alexandria describes a relaxed SiPHC crystal. The functional is GGA-PBE.

```
SiPHC
1.0
3.0270 0.0040 0.0032
-0.1506 3.4329 -0.0007
-1.0797 -0.5677 5.8009
Si P H C
1 1 1 1
direct
0.1453 0.3125 0.1098
0.5768 0.7199 0.3959
0.3152 0.2637 0.8873
0.0020 0.8228 0.2023
```

Summary:
Final energy, eV/atom: -5.374
Spin magnetization, μB/f.u.: 0.000
Energy above the most stable polymorph in this dataset, kJ/mol of formula units: 131

***

[9]
This record from Alexandria describes a relaxed SiPHC crystal. The functional is GGA-PBE.

```
SiPHC
1.0
2.9881 0.0000 0.0000
0.0000 3.0117 0.0000
0.0000 0.0000 5.4478
Si P H C
1 1 1 1
direct
0.0000 0.5000 0.0023
0.5000 0.0000 0.5850
0.5000 0.5000 0.1404
0.0000 0.0000 0.7948
```

Summary:
Final energy, eV/atom: -5.478
Spin magnetization, μB/f.u.: 0.000
Energy above the most stable polymorph in this dataset, kJ/mol of formula units: 91

***

[10]
This record from Alexandria describes a relaxed SiPHC crystal. The functional is GGA-PBE.

```
SiPHC
1.0
4.4900 0.0000 -0.0025
0.0000 2.8396 0.0000
-3.9818 0.0000 7.7973
Si P H C
2 2 2 2
direct
0.5885 0.0000 0.1722
0.5885 0.5000 0.6722
0.9725 0.0000 0.0570
0.9725 0.5000 0.5570
0.1345 0.0000 0.3979
0.1345 0.5000 0.8979
0.9010 0.0000 0.4133
0.9010 0.5000 0.9133
```

Summary:
Final energy, eV/atom: -5.610
Spin magnetization, μB/f.u.: 0.000
Energy above the most stable polymorph in this dataset, kJ/mol of formula units: 40

***

[11]
This record from Alexandria describes a relaxed SiPHC crystal. The functional is GGA-PBE.

```
SiPHC
1.0
-1.0519 -6.9527 -0.7630
1.7192 -0.5272 2.4340
-4.1568 0.7842 3.1060
Si P H C
2 2 2 2
direct
0.0611 0.0000 0.4754
0.0611 0.5000 0.9754
0.4140 0.0000 0.8532
0.4140 0.5000 0.3532
0.8480 0.0000 0.4488
0.8480 0.5000 0.9488
0.1545 0.0000 0.8203
0.1545 0.5000 0.3203
```

Summary:
Final energy, eV/atom: -5.714
Spin magnetization, μB/f.u.: 0.000
Energy above the most stable polymorph in this dataset, kJ/mol of formula units: 0

***

[12]
This record from Alexandria describes a relaxed SiPHC crystal. The functional is GGA-PBE.

```
SiPHC
1.0
-0.8166 -2.3669 -2.1831
1.7782 -1.9913 2.3971
-3.7532 1.2010 1.9971
Si P H C
1 1 1 1
direct
0.9292 0.0696 0.0640
0.9304 0.4592 0.7355
0.4911 0.8301 0.3664
0.5360 0.1187 0.3172
```

Summary:
Final energy, eV/atom: -5.649
Spin magnetization, μB/f.u.: 0.000
Energy above the most stable polymorph in this dataset, kJ/mol of formula units: 25

***

[13]
This record from Alexandria describes a relaxed SiPHC crystal. The functional is GGA-PBE.

```
SiPHC
1.0
3.2832 0.0000 0.0007
1.6280 2.8819 -0.0006
1.4875 0.9737 4.3764
Si P H C
1 1 1 1
direct
0.9499 0.6999 0.6975
0.3749 0.7862 0.2054
0.4318 0.1909 0.2112
0.2465 0.0007 0.8113
```

Summary:
Final energy, eV/atom: -5.530
Spin magnetization, μB/f.u.: 0.000
Energy above the most stable polymorph in this dataset, kJ/mol of formula units: 71

***

[14]
This record from Alexandria describes a relaxed SiPHC crystal. The functional is GGA-PBE.

```
SiPHC
1.0
2.8097 -0.0063 0.0056
0.0078 3.6998 0.0385
1.3897 1.0078 4.3355
P Si C H
1 1 1 1
direct
0.9265 0.8610 0.0585
0.6676 0.5055 0.5745
0.5505 0.8870 0.8088
0.8946 0.2297 0.1211
```

Summary:
Final energy, eV/atom: -5.419
Spin magnetization, μB/f.u.: 0.000
Energy above the most stable polymorph in this dataset, kJ/mol of formula units: 114

***

[15]
This record from Alexandria describes a relaxed SiPHC crystal. The functional is GGA-PBE.

```
SiPHC
1.0
2.9253 0.0000 0.0000
-1.4627 2.5334 0.0000
0.0000 0.0000 6.5155
Si P H C
1 1 1 1
direct
0.3333 0.6667 0.5106
0.3333 0.6667 0.8557
0.6667 0.3333 0.1437
0.6667 0.3333 0.9733
```

Summary:
Final energy, eV/atom: -5.514
Spin magnetization, μB/f.u.: 0.000
Energy above the most stable polymorph in this dataset, kJ/mol of formula units: 77

***

[16]
This record from Alexandria describes a relaxed Th4PHC2 crystal. The functional is GGA-PBE.

```
Th4PHC2
1.0
-2.4683 1.1870 -4.8278
1.9232 -4.7433 -2.1475
-4.0948 -0.7249 5.1051
Th P H C
4 1 1 2
direct
0.9349 0.4360 0.0000
0.4360 0.9349 0.0000
0.1986 0.1986 0.5257
0.6729 0.6729 0.4743
0.9360 0.9360 0.0000
0.4460 0.4460 0.0000
0.1864 0.6864 0.5000
0.6864 0.1864 0.5000
```

Summary:
Final energy, eV/atom: -7.567
Spin magnetization, μB/f.u.: 0.002

***

[17]
This record from Alexandria describes a relaxed Y4PHC2 crystal. The functional is GGA-PBE.

```
Y4PHC2
1.0
3.7347 0.0000 0.0000
-1.8673 6.0584 0.0000
0.0000 0.0000 12.5527
Y P H C
8 2 2 4
direct
0.2655 0.5311 0.1096
0.7345 0.4689 0.6096
0.7345 0.4689 0.8904
0.2655 0.5311 0.3904
0.0000 0.0000 0.5000
0.0000 0.0000 0.0000
0.4393 0.8786 0.7500
0.5607 0.1214 0.2500
0.1134 0.2268 0.7500
0.8866 0.7732 0.2500
0.8458 0.6916 0.7500
0.1542 0.3084 0.2500
0.3663 0.7326 0.5603
0.6337 0.2674 0.0603
0.6337 0.2674 0.4397
0.3663 0.7326 0.9397
```

Summary:
Final energy, eV/atom: -7.362
Spin magnetization, μB/f.u.: 0.000

***

[18]
This record from Alexandria describes a relaxed Zr3PHC crystal. The functional is GGA-PBE.

```
Zr3PHC
1.0
3.4349 0.0000 0.0000
0.0000 7.0240 0.0231
0.0000 -1.8315 7.3637
Zr P H C
6 2 2 2
direct
0.7500 0.8871 0.1359
0.2500 0.1129 0.8641
0.2500 0.7565 0.4752
0.7500 0.2435 0.5248
0.7500 0.4385 0.1523
0.2500 0.5615 0.8477
0.2500 0.1894 0.2406
0.7500 0.8106 0.7594
0.2500 0.0760 0.5839
0.7500 0.9240 0.4161
0.2500 0.6672 0.1600
0.7500 0.3328 0.8400
```

Summary:
Final energy, eV/atom: -8.178
Spin magnetization, μB/f.u.: 0.000

***

[19]
This record from Alexandria describes a relaxed Pm6HC2S3 crystal. The functional is GGA-PBE.

```
Pm6HC2S3
1.0
-6.1202 -2.4909 1.0817
4.7811 -3.8939 -2.6095
2.2267 0.3054 6.4602
Pm H C S
6 1 2 3
direct
0.9236 0.5703 0.7744
0.7223 0.7223 0.2229
0.0764 0.4297 0.2256
0.5703 0.9236 0.7744
0.2777 0.2777 0.7771
0.4297 0.0764 0.2256
0.0000 0.0000 0.0000
0.3330 0.6670 0.0000
0.6670 0.3330 0.0000
0.1630 0.8370 0.5000
0.8370 0.1630 0.5000
0.5000 0.5000 0.5000
```

Summary:
Final energy, eV/atom: -6.410
Spin magnetization, μB/f.u.: 0.000

***

[20]
This record from Alexandria describes a relaxed Pm6HC3S2 crystal. The functional is GGA-PBE.

```
Pm6HC3S2
1.0
3.8091 0.0000 0.0000
0.0000 7.8742 0.0856
-1.9046 -2.4768 8.1672
Pm H C S
6 1 3 2
direct
0.3252 0.9382 0.6503
0.6608 0.5996 0.3217
0.6748 0.0618 0.3497
0.9900 0.2719 0.9799
0.0100 0.7281 0.0201
0.3392 0.4004 0.6783
0.5000 0.0000 0.0000
0.5000 0.5000 0.0000
0.8328 0.1675 0.6655
0.1672 0.8325 0.3345
0.8375 0.6750 0.6749
0.1625 0.3250 0.3251
```

Summary:
Final energy, eV/atom: -6.530
Spin magnetization, μB/f.u.: 0.000

***

[21]
This record from Alexandria describes a relaxed Pm8HC3S4 crystal. The functional is GGA-PBE.

```
Pm8HC3S4
1.0
-7.5056 1.4587 -1.0530
-0.4920 -6.1016 -4.9460
2.7523 -1.1149 7.1241
Pm H C S
8 1 3 4
direct
0.2486 0.7239 0.9753
0.2487 0.7239 0.4973
0.2609 0.2826 0.5217
0.7266 0.7239 0.9753
0.2734 0.2761 0.0247
0.7391 0.7174 0.4783
0.7513 0.2761 0.5027
0.7514 0.2761 0.0247
0.0000 0.5000 0.0000
0.5000 0.5000 0.0000
0.5000 0.5000 0.5000
0.0000 0.5000 0.5000
0.5000 0.0000 0.0000
0.5000 0.0000 0.5000
0.0000 0.0000 0.0000
0.0000 0.0000 0.5000
```

Summary:
Final energy, eV/atom: -6.517
Spin magnetization, μB/f.u.: 0.000

***

[22]
This record from Alexandria describes a relaxed Pm4HCSe2 crystal. The functional is GGA-PBE.

```
Pm4HCSe2
1.0
-1.8621 -0.8814 3.3702
-4.2376 -4.0290 -3.3950
5.4658 -3.8989 2.0003
Pm H C Se
4 1 1 2
direct
0.5000 0.2642 0.2260
0.5000 0.7358 0.7740
0.0000 0.2724 0.7958
0.0000 0.7276 0.2042
0.0000 0.0000 0.0000
0.5000 0.5000 0.0000
0.5000 0.0000 0.5000
0.0000 0.5000 0.5000
```

Summary:
Final energy, eV/atom: -5.876
Spin magnetization, μB/f.u.: 0.000

***

[23]
This record from Alexandria describes a relaxed Pr6HC2S3 crystal. The functional is GGA-PBE.

```
Pr6HC2S3
1.0
-0.6943 -1.4703 3.5882
0.0632 -7.4591 -3.0442
8.5908 2.2432 0.4189
Pr H C S
6 1 2 3
direct
0.3334 0.8898 0.6669
0.6741 0.5667 0.3482
0.6666 0.1102 0.3331
0.0114 0.2585 0.0227
0.9886 0.7415 0.9773
0.3259 0.4333 0.6518
0.5000 0.0000 0.0000
0.8365 0.6714 0.6730
0.1635 0.3286 0.3270
0.5000 0.5000 0.0000
0.8352 0.1658 0.6705
0.1648 0.8342 0.3295
```

Summary:
Final energy, eV/atom: -6.356
Spin magnetization, μB/f.u.: 0.000

***

[24]
This record from Alexandria describes a relaxed TeH2RhC crystal. The functional is GGA-PBE.

```
TeH2RhC
1.0
-3.6016 0.8549 0.3903
-0.7197 -3.7612 1.5972
0.6829 1.3187 3.4131
H C Te Rh
2 1 1 1
direct
0.0000 0.0000 0.5000
0.5000 0.0000 0.0000
0.0000 0.0000 0.0000
0.5000 0.5000 0.5000
0.0000 0.5000 0.0000
```

Summary:
Final energy, eV/atom: -4.146
Spin magnetization, μB/f.u.: 0.000